Record 1
This record from Alexandria describes a geometry-optimized BeRe2Te structure. The functional is PBE.

Computed properties:
DFT total energy in eV/atom: -7.456
ΔE to the lowest computed polymorph in meV/atom: 150
ΔE_f (raw) in eV per formula unit: 1.94

Unit cell a=4.5824 b=4.5824 c=4.7556 alpha=73.36 beta=73.36 gamma=40.62
Closest atoms and distances in Å follow each position.
Element x y z (fractional)
1 Be 0.2635 0.2635 0.1390  5 Re 2.43-2.48
2 Te 0.5070 0.5070 0.5133  5 Re 2.64-2.73, 2 Be 2.86
3 Re 0.9862 0.9862 0.0826  3 Be 2.44-2.48, 2 Te 2.64
4 Re 0.7433 0.7433 0.7651  2 Be 2.43, 1 Te 2.65

Record 2
This record from Alexandria describes a geometry-optimized BeRe2Te structure. The functional is PBE.

Computed properties:
DFT total energy in eV/atom: -7.570
ΔE to the lowest computed polymorph in meV/atom: 36
ΔE_f (raw) in eV per formula unit: 1.48

Unit cell a=3.0082 b=3.0082 c=8.3056 alpha=90.00 beta=90.00 gamma=90.00
Closest atoms and distances in Å follow each position.
Element x y z (fractional)
1 Re 0.0000 0.0000 0.0022  4 Be 2.40, 4 Re 2.67
2 Re 0.5000 0.5000 0.1972  4 Re 2.67, 1 Be 2.74, 4 Te 2.89
3 Te 0.0000 0.0000 0.4332  4 Re 2.89, 4 Te 3.01
4 Be 0.5000 0.5000 0.8674  4 Re 2.40

Record 3
This record from Alexandria describes a geometry-optimized BeRe2Te structure. The functional is PBE.

Computed properties:
DFT total energy in eV/atom: -7.303
ΔE to the lowest computed polymorph in meV/atom: 304
ΔE_f (raw) in eV per formula unit: 2.55

Unit cell a=4.9369 b=4.9369 c=4.9369 alpha=142.39 beta=123.45 gamma=69.92
Closest atoms and distances in Å follow each position.
Element x y z (fractional)
1 Be 0.2500 0.7500 0.5000  4 Re 2.29
2 Re 0.0467 0.0467 0.0000  2 Be 2.29
3 Re 0.4533 0.4533 0.0000  2 Be 2.29
4 Te 0.7500 0.2500 0.5000  4 Be 2.83, 8 Re 2.86-2.88

Record 4
This record from Alexandria describes a geometry-optimized BeRe2Te structure. The functional is PBE.

Computed properties:
DFT total energy in eV/atom: -7.234
ΔE to the lowest computed polymorph in meV/atom: 373
ΔE_f (raw) in eV per formula unit: 2.83

Unit cell a=4.0644 b=4.0644 c=8.9942 alpha=76.94 beta=76.94 gamma=90.00
Closest atoms and distances in Å follow each position.
Element x y z (fractional)
1 Re 0.5463 0.1250 0.2500  2 Be 2.46, 2 Re 2.46, 2 Te 2.71
2 Re 0.3750 0.4537 0.7500  2 Be 2.46, 2 Re 2.46, 2 Te 2.71
3 Re 0.2037 0.6250 0.2500  2 Be 2.46, 2 Re 2.46, 2 Te 2.71
4 Re 0.8750 0.7963 0.7500  2 Be 2.46, 2 Re 2.46, 2 Te 2.71
5 Te 0.7500 0.2500 0.5000  4 Re 2.71, 4 Be 2.87
6 Te 0.0000 0.0000 0.0000  4 Re 2.71, 4 Be 2.87
7 Be 0.5000 0.5000 0.0000  4 Re 2.46
8 Be 0.2500 0.7500 0.5000  4 Re 2.46